A relaxed structure of Si2TcAu, computed with PBE.

Lattice parameters (Å, degrees): 3.259 4.574 8.274 90.00 90.00 90.00
Sites, in units of the cell vectors:
Si (0.000, 0.000, 0.000)
Si (0.000, 0.500, 0.235)
Si (0.500, 0.000, 0.235)
Si (0.500, 0.500, 0.000)
Tc (0.000, 0.000, 0.449)
Tc (0.500, 0.500, 0.449)
Au (0.000, 0.500, 0.739)
Au (0.500, 0.000, 0.739)

Computed properties:
The volume is 62 Å³/f.u. Its uncorrected energy is -5.79 eV per atom. As for the density of states at the Fermi level: 0.75 states/eV per atom. As for the uncorrected formation energy: 1.313 eV/f.u. The calculation puts the relative energy among the computed polymorphs at 47.4 kJ per mole of atoms.


A relaxed structure of Ac2TmScS5, computed with PBE.

Lattice parameters (Å, degrees): 8.585 8.585 12.716 90.00 90.00 152.65
Sites, in units of the cell vectors:
Ac (0.105, 0.895, 0.500)
Ac (0.143, 0.857, 0.121)
Ac (0.857, 0.143, 0.621)
Ac (0.895, 0.105, 0.000)
Tm (0.208, 0.792, 0.828)
Tm (0.792, 0.208, 0.328)
Sc (0.471, 0.529, 0.272)
Sc (0.529, 0.471, 0.772)
S (0.055, 0.945, 0.882)
S (0.281, 0.719, 0.472)
S (0.323, 0.677, 0.186)
S (0.371, 0.629, 0.813)
S (0.487, 0.513, 0.585)
S (0.513, 0.487, 0.085)
S (0.629, 0.371, 0.313)
S (0.677, 0.323, 0.686)
S (0.719, 0.281, 0.972)
S (0.945, 0.055, 0.382)

Computed properties:
The volume is 215 Å³/f.u. Its uncorrected energy is -6.41 eV per atom. As for the density of states at the Fermi level: 0.62 states/eV per atom. As for the uncorrected formation energy: -18.058 eV/f.u.


A relaxed structure of Na8Hg6Au, computed with PBE.

Lattice parameters (Å, degrees): 10.465 10.465 4.558 90.00 90.00 120.00
Sites, in units of the cell vectors:
Na (0.046, 0.765, 0.245)
Na (0.235, 0.281, 0.245)
Na (0.281, 0.046, 0.755)
Na (0.333, 0.667, 0.751)
Na (0.667, 0.333, 0.249)
Na (0.719, 0.954, 0.245)
Na (0.765, 0.719, 0.755)
Na (0.954, 0.235, 0.755)
Hg (0.088, 0.482, 0.251)
Hg (0.394, 0.912, 0.251)
Hg (0.482, 0.394, 0.749)
Hg (0.518, 0.606, 0.251)
Hg (0.606, 0.088, 0.749)
Hg (0.912, 0.518, 0.749)
Au (0.000, 0.000, 0.500)

Computed properties:
The formation energy comes out at -0.1899 eV/atom. The volume is 432 Å³/f.u. Its uncorrected energy is -1.23 eV per atom. As for the density of states at the Fermi level: 0.47 states/eV per atom. The calculation puts the relative energy among the computed polymorphs at 0.0 kJ per mole of atoms.